A geometry-optimized PrTiAsO2 structure, computed with GGA-PBE.

extended XYZ file:
```
10
Lattice="1.8902 -5.8389 0.0000 1.8902 5.8389 0.0000 0.0000 0.0000 7.1368" Properties=species:S:1:pos:R:3 pbc="T T T"
Pr 1.8902 3.1880 5.3526
Pr 1.8902 -3.1880 1.7842
Ti 1.8902 0.0000 0.0000
Ti 1.8902 0.0000 3.5684
As 1.8902 5.3065 1.7842
As 1.8902 -5.3065 5.3526
O 1.8902 1.8701 0.3657
O 1.8902 1.8701 3.2027
O 1.8902 -1.8701 3.9341
O 1.8902 -1.8701 6.7711
```

Values from the calculation:
Formation energy (no corrections), meV/atom: -2468.3
Energy, eV per atom: -7.92

***

A geometry-optimized TcAu2I8 structure, computed with GGA-PBE.

extended XYZ file:
```
11
Lattice="6.9391 -4.3451 0.0000 6.9391 4.3451 0.0000 -0.3094 0.0000 6.9398" Properties=species:S:1:pos:R:3 pbc="T T T"
Tc 0.0000 0.0000 0.0000
Au 2.6614 0.0000 3.0843
Au 10.9074 0.0000 3.8555
I 5.7543 2.4383 5.2248
I 2.1728 0.0000 5.7193
I 7.8145 2.4383 1.7150
I 4.8603 0.0000 1.6470
I 8.7084 0.0000 5.2928
I 5.7543 -2.4383 5.2248
I 11.3960 0.0000 1.2205
I 7.8145 -2.4383 1.7150
```

Values from the calculation:
Formation energy (no corrections), meV/atom: 44.0
Energy, eV per atom: -2.62

***

A geometry-optimized CeGdH structure, computed with GGA-PBE.

extended XYZ file:
```
12
Lattice="3.5287 0.0000 0.0000 0.0000 13.7762 0.0000 0.0000 0.0000 5.2260" Properties=species:S:1:pos:R:3 pbc="T T T"
Ce 0.0000 2.4915 1.3065
Ce 0.0000 11.2848 3.9195
Ce 1.7644 4.3966 3.9195
Ce 1.7644 9.3796 1.3065
Gd 0.0000 5.9257 1.3065
Gd 0.0000 7.8506 3.9195
Gd 1.7644 0.9625 3.9195
Gd 1.7644 12.8138 1.3065
H 0.0000 2.5844 3.9195
H 0.0000 11.1918 1.3065
H 1.7644 4.3037 1.3065
H 1.7644 9.4725 3.9195
```

Values from the calculation:
Excess energy over the best structure of this formula in the dataset, meV per atom: 2
Energy, eV per atom: -7.95

***

A geometry-optimized Na2Mg2P3NO9 structure, computed with GGA-PBE.

extended XYZ file:
```
68
Lattice="9.3590 0.0000 0.0000 0.0000 9.3590 0.0000 0.0000 0.0000 9.3590" Properties=species:S:1:pos:R:3 pbc="T T T"
Na 0.3674 0.3674 0.3674
Na 1.9034 2.7761 6.5828
Na 2.7761 6.5828 1.9034
Na 4.3121 8.9915 5.0469
Na 5.0469 4.3121 8.9915
Na 6.5828 1.9034 2.7761
Na 7.4556 7.4556 7.4556
Na 8.9915 5.0469 4.3121
Mg 0.7271 8.6319 3.9524
Mg 0.9489 5.6284 8.4100
Mg 3.7306 3.7306 3.7306
Mg 3.9524 0.7271 8.6319
Mg 5.4066 5.4066 5.4066
Mg 5.6284 8.4100 0.9489
Mg 8.4100 0.9489 5.6284
Mg 8.6319 3.9524 0.7271
P 0.8607 2.4400 3.1962
P 1.4833 8.4983 7.1195
P 2.2395 6.1628 5.5402
P 2.4400 3.1962 0.8607
P 3.1962 0.8607 2.4400
P 3.8188 6.9190 7.8757
P 5.5402 2.2395 6.1628
P 6.1628 5.5402 2.2395
P 6.9190 7.8757 3.8188
P 7.1195 1.4833 8.4983
P 7.8757 3.8188 6.9190
P 8.4983 7.1195 1.4833
N 1.8695 1.8695 1.8695
N 2.8099 7.4894 6.5490
N 6.5490 2.8099 7.4894
N 7.4894 6.5490 2.8099
O 0.0656 1.2449 3.7421
O 0.1214 8.1338 2.0748
O 0.4597 7.5385 7.7400
O 0.9374 9.2934 5.9243
O 1.2252 6.7543 4.5581
O 1.2449 3.7421 0.0656
O 1.6190 5.1391 6.4999
O 1.8204 3.0605 4.2198
O 2.0748 0.1214 8.1338
O 2.6047 9.2375 3.4543
O 2.8591 6.2985 8.8993
O 3.0605 4.2198 1.8204
O 3.4346 5.6169 4.7451
O 3.4543 2.6047 9.2375
O 3.7421 0.0656 1.2449
O 4.2198 1.8204 3.0605
O 4.5581 1.2252 6.7543
O 4.6139 8.1141 8.4215
O 4.7451 3.4346 5.6169
O 4.8009 5.9047 7.2842
O 5.1391 6.4999 1.6190
O 5.6169 4.7451 3.4346
O 5.9047 7.2842 4.8009
O 5.9243 0.9374 9.2934
O 6.2985 8.8993 2.8591
O 6.4999 1.6190 5.1391
O 6.7543 4.5581 1.2252
O 7.2842 4.8009 5.9047
O 7.5385 7.7400 0.4597
O 7.7400 0.4597 7.5385
O 8.1141 8.4215 4.6139
O 8.1338 2.0748 0.1214
O 8.4215 4.6139 8.1141
O 8.8993 2.8591 6.2985
O 9.2375 3.4543 2.6047
O 9.2934 5.9243 0.9374
```

Values from the calculation:
Formation energy (no corrections), meV/atom: -2297.5
Energy, eV per atom: -6.71

***

A geometry-optimized V2ReRh structure, computed with GGA-PBE.

extended XYZ file:
```
4
Lattice="3.0440 0.0000 0.0000 0.0000 3.0440 0.0000 0.0000 0.0000 6.0455" Properties=species:S:1:pos:R:3 pbc="T T T"
V 0.0000 0.0000 1.4530
V 0.0000 0.0000 4.5925
Re 1.5220 1.5220 0.0000
Rh 1.5220 1.5220 3.0228
```

Values from the calculation:
Energy, eV per atom: -9.79
DFT formation energy, meV per atom: -285

***

A geometry-optimized Ac3Pb4Au4 structure, computed with GGA-PBE.

extended XYZ file:
```
11
Lattice="-2.1733 2.4408 15.1553 2.1733 -2.4408 15.1553 2.1733 2.4408 -15.1553" Properties=species:S:1:pos:R:3 pbc="T T T"
Ac 0.0000 0.0000 0.0000
Ac 2.1733 0.0000 10.8109
Ac 0.0000 2.4408 4.3444
Pb 2.1733 0.0000 2.8343
Pb 0.0000 0.0000 7.7180
Pb 0.0000 0.0000 22.5926
Pb 0.0000 2.4408 12.3209
Au 2.1733 0.0000 5.6319
Au 0.0000 0.0000 13.7800
Au 0.0000 0.0000 16.5305
Au 0.0000 2.4408 9.5234
```

Values from the calculation:
Energy, eV per atom: -4.19
DFT formation energy, meV per atom: -531

***

A geometry-optimized Y2MgSb2 structure, computed with GGA-PBE.

extended XYZ file:
```
10
Lattice="8.0823 0.0000 0.0000 0.0000 8.0823 0.0000 0.0000 0.0000 4.1352" Properties=species:S:1:pos:R:3 pbc="T T T"
Y 1.2444 2.7967 0.0000
Y 2.7967 6.8378 0.0000
Y 5.2856 1.2444 0.0000
Y 6.8378 5.2856 0.0000
Mg 0.0000 0.0000 2.0676
Mg 4.0411 4.0411 2.0676
Sb 1.2270 5.2681 2.0676
Sb 2.8142 1.2270 2.0676
Sb 5.2681 6.8553 2.0676
Sb 6.8553 2.8142 2.0676
```

Values from the calculation:
Formation energy (no corrections), meV/atom: -834.8
Excess energy over the best structure of this formula in the dataset, meV per atom: 0
Energy, eV per atom: -5.39

***

A geometry-optimized SrTiO structure, computed with GGA-PBE.

extended XYZ file:
```
12
Lattice="9.9235 0.0000 0.0000 0.0000 3.3579 0.0000 -0.0123 0.0000 7.2438" Properties=species:S:1:pos:R:3 pbc="T T T"
Sr 0.0000 0.0000 0.0000
Sr 2.3302 0.0000 4.9998
Sr 4.9617 1.6790 0.0000
Sr 7.2920 1.6790 4.9998
Ti 2.3979 1.6790 1.6530
Ti 4.8741 0.0000 2.9341
Ti 7.3596 0.0000 1.6530
Ti 9.8358 1.6790 2.9341
O 1.9812 1.6790 6.9880
O 3.5256 0.0000 1.5314
O 6.9429 0.0000 6.9880
O 8.4873 1.6790 1.5314
```

Values from the calculation:
Formation energy (no corrections), meV/atom: -1385.1
Excess energy over the best structure of this formula in the dataset, meV per atom: 204
Energy, eV per atom: -6.23

***

A geometry-optimized LaBS2N structure, computed with GGA-PBE.

extended XYZ file:
```
5
Lattice="5.6495 0.0000 0.0000 0.0000 5.6495 0.0000 0.0000 0.0000 4.3585" Properties=species:S:1:pos:R:3 pbc="T T T"
La 0.0000 0.0000 0.0000
B 2.8247 2.8247 2.1792
S 0.0000 2.8247 0.0000
S 2.8247 0.0000 0.0000
N 0.0000 0.0000 2.1792
```

Values from the calculation:
Formation energy (no corrections), meV/atom: 1218.4
Excess energy over the best structure of this formula in the dataset, meV per atom: 1597
Energy, eV per atom: -4.42

***

A geometry-optimized SrSn4Au12 structure, computed with GGA-PBE.

extended XYZ file:
```
17
Lattice="-4.7260 4.7260 4.7260 4.7260 -4.7260 4.7260 4.7260 4.7260 -4.7260" Properties=species:S:1:pos:R:3 pbc="T T T"
Sr 0.0000 0.0000 0.0000
Sn 2.3630 2.3630 -2.3630
Sn 2.3630 -2.3630 2.3630
Sn -2.3630 2.3630 2.3630
Sn 2.3630 2.3630 2.3630
Au 3.3209 0.0000 1.3810
Au 6.1312 0.0000 1.3810
Au 4.7260 3.3450 -1.4052
Au 1.3810 3.3209 0.0000
Au 3.3450 -1.4052 4.7260
Au 0.0000 1.3810 3.3209
Au 4.7260 3.3450 1.4052
Au 1.3810 6.1312 0.0000
Au 3.3450 1.4052 4.7260
Au 0.0000 1.3810 6.1312
Au -1.4052 4.7260 3.3450
Au 1.4052 4.7260 3.3450
```

Values from the calculation:
Energy, eV per atom: -3.39
DFT formation energy, meV per atom: -35

***

A geometry-optimized Nd4CuS3 structure, computed with GGA-PBE.

extended XYZ file:
```
16
Lattice="5.8019 0.0000 0.0000 0.0000 5.8019 0.0000 0.0000 0.0000 11.5668" Properties=species:S:1:pos:R:3 pbc="T T T"
Nd 0.0000 0.0000 2.8264
Nd 0.0000 0.0000 8.7404
Nd 0.0000 2.9010 0.0000
Nd 0.0000 2.9010 5.7834
Nd 2.9010 0.0000 0.0000
Nd 2.9010 0.0000 5.7834
Nd 2.9010 2.9010 2.9570
Nd 2.9010 2.9010 8.6098
Cu 0.0000 0.0000 5.7834
Cu 2.9010 2.9010 0.0000
S 0.0000 0.0000 0.0000
S 0.0000 2.9010 2.8917
S 0.0000 2.9010 8.6751
S 2.9010 0.0000 2.8917
S 2.9010 0.0000 8.6751
S 2.9010 2.9010 5.7834
```

Values from the calculation:
Formation energy (no corrections), meV/atom: -1544.1
Energy, eV per atom: -5.99

***

A geometry-optimized Ba2Os3PbO12 structure, computed with GGA-PBE.

extended XYZ file:
```
18
Lattice="3.6872 2.1288 5.6237 -3.6872 2.1288 5.6237 0.0000 -4.2576 5.6237" Properties=species:S:1:pos:R:3 pbc="T T T"
Ba 0.0000 0.0000 1.8703
Ba 0.0000 0.0000 15.0009
Os -1.8436 -1.0644 5.6237
Os -1.8436 1.0644 11.2474
Os 0.0000 2.1288 5.6237
Pb 0.0000 0.0000 8.4356
O -2.1321 -1.2310 7.4477
O 0.0000 -1.6868 5.9323
O -1.4608 0.8434 5.9323
O 0.0000 -2.4620 9.4234
O -2.1321 1.2310 9.4234
O -1.4608 -0.8434 10.9388
O 1.4608 0.8434 5.9323
O 2.1321 -1.2310 7.4477
O 0.0000 2.4620 7.4477
O 1.4608 -0.8434 10.9388
O 0.0000 1.6868 10.9388
O 2.1321 1.2310 9.4234
```

Values from the calculation:
Formation energy (no corrections), meV/atom: -1444.3
Energy, eV per atom: -7.04

***

A geometry-optimized Sm2DyAg structure, computed with GGA-PBE.

extended XYZ file:
```
8
Lattice="6.2784 0.0000 0.0000 0.0000 3.6293 0.0000 -2.0811 0.0000 10.5339" Properties=species:S:1:pos:R:3 pbc="T T T"
Sm 0.0000 0.0000 0.0000
Sm 0.0060 0.0000 5.7622
Sm 3.1392 1.8147 0.0000
Sm 3.1452 1.8147 5.7622
Dy 2.0968 0.0000 2.8709
Dy 5.2360 1.8147 2.8709
Ag -1.0364 1.8147 8.1636
Ag 2.1028 0.0000 8.1636
```

Values from the calculation:
Excess energy over the best structure of this formula in the dataset, meV per atom: 109
Energy, eV per atom: -4.22
DFT formation energy, meV per atom: 0

***

A geometry-optimized SrAl2W structure, computed with GGA-PBE.

extended XYZ file:
```
8
Lattice="2.8854 0.0000 0.0000 0.0000 5.2547 0.0000 0.0000 0.0000 10.7471" Properties=species:S:1:pos:R:3 pbc="T T T"
Sr 0.0000 0.0000 0.0000
Sr 1.4427 2.6273 5.3735
Al 0.0000 0.0000 5.2330
Al 0.0000 2.6273 2.3397
Al 1.4427 0.0000 7.7132
Al 1.4427 2.6273 10.6065
W 0.0000 2.6273 8.3826
W 1.4427 0.0000 3.0091
```

Values from the calculation:
Excess energy over the best structure of this formula in the dataset, meV per atom: 375
Energy, eV per atom: -5.01
DFT formation energy, meV per atom: 523

***

A geometry-optimized CaP3Ru structure, computed with GGA-PBE.

extended XYZ file:
```
5
Lattice="4.6694 0.0000 0.0000 0.0000 4.6694 0.0000 0.0000 0.0000 4.6694" Properties=species:S:1:pos:R:3 pbc="T T T"
Ca 0.0000 0.0000 0.0000
P 0.0000 2.3347 2.3347
P 2.3347 0.0000 2.3347
P 2.3347 2.3347 0.0000
Ru 2.3347 2.3347 2.3347
```

Values from the calculation:
Excess energy over the best structure of this formula in the dataset, meV per atom: 0
Energy, eV per atom: -5.47
DFT formation energy, meV per atom: 30

***

A geometry-optimized HoCoSiH structure, computed with GGA-PBE.

extended XYZ file:
```
8
Lattice="3.8296 0.0000 0.0000 0.0000 3.8296 0.0000 0.0000 0.0000 7.2674" Properties=species:S:1:pos:R:3 pbc="T T T"
Ho 0.9574 0.9574 1.1895
Ho 2.8722 2.8722 6.0779
Co 0.9574 2.8722 3.6337
Co 2.8722 0.9574 3.6337
Si 0.9574 0.9574 4.8433
Si 2.8722 2.8722 2.4240
H 0.9574 2.8722 0.0000
H 2.8722 0.9574 0.0000
```

Values from the calculation:
Energy, eV per atom: -5.88

***

A geometry-optimized MgZn3Cu structure, computed with GGA-PBE.

extended XYZ file:
```
10
Lattice="3.7218 -4.6500 0.0000 3.7218 4.6500 0.0000 0.0000 0.0000 5.3821" Properties=species:S:1:pos:R:3 pbc="T T T"
Mg 0.0000 0.0000 0.0000
Mg 0.0000 0.0000 2.6911
Zn 3.7218 2.1315 4.0366
Zn 2.4128 0.2695 1.3455
Zn 2.4128 -0.2695 4.0366
Zn 5.0307 0.2695 1.3455
Zn 5.0307 -0.2695 4.0366
Zn 3.7218 -2.1315 1.3455
Cu 3.7218 2.3750 1.3455
Cu 3.7218 -2.3750 4.0366
```

Values from the calculation:
Excess energy over the best structure of this formula in the dataset, meV per atom: 320
Energy, eV per atom: -1.65
DFT formation energy, meV per atom: 250

***

A geometry-optimized Cs2PdPtI6 structure, computed with GGA-PBE.

extended XYZ file:
```
20
Lattice="4.0308 2.3272 13.5558 -4.0308 2.3272 13.5558 0.0000 -4.6544 13.5558" Properties=species:S:1:pos:R:3 pbc="T T T"
Cs 0.0000 0.0000 4.9097
Cs 0.0000 0.0000 12.0652
Cs 0.0000 0.0000 28.6022
Cs 0.0000 0.0000 35.7577
Pd 0.0000 0.0000 16.8516
Pd 0.0000 0.0000 23.8158
Pt 0.0000 0.0000 0.0000
Pt 0.0000 0.0000 20.3337
I -1.9368 -1.1182 18.6814
I 0.0000 -2.3661 15.2132
I -2.0491 1.1830 15.2132
I -2.0491 -1.1830 25.4542
I 0.0000 -2.2364 21.9860
I -1.9368 1.1182 21.9860
I 1.9368 -1.1182 18.6814
I 0.0000 2.2364 18.6814
I 2.0491 1.1830 15.2131
I 2.0491 -1.1830 25.4543
I 0.0000 2.3661 25.4543
I 1.9368 1.1182 21.9860
```

Values from the calculation:
Formation energy (no corrections), meV/atom: -668.6
Excess energy over the best structure of this formula in the dataset, meV per atom: 19
Energy, eV per atom: -2.89

***

A geometry-optimized CdH2OF2 structure, computed with GGA-PBE.

extended XYZ file:
```
12
Lattice="3.8769 -2.7431 0.0000 3.8769 2.7431 0.0000 0.0000 0.0000 5.4640" Properties=species:S:1:pos:R:3 pbc="T T T"
Cd 3.8769 1.6285 2.7320
Cd 3.8769 -1.6285 0.0000
H 3.1050 1.0527 0.1020
H 4.6488 1.0527 0.1020
H 3.1050 -1.0527 2.8340
H 4.6488 -1.0527 2.8340
O 3.8769 0.6191 0.5951
O 3.8769 -0.6191 3.3271
F 1.3560 0.5815 1.8350
F 1.3560 -0.5815 4.5670
F 6.3978 0.5815 1.8350
F 6.3978 -0.5815 4.5670
```

Values from the calculation:
Energy, eV per atom: -4.28

***

A geometry-optimized Ba5O4 structure, computed with GGA-PBE.

extended XYZ file:
```
9
Lattice="-4.4905 4.4905 2.8288 4.4905 -4.4905 2.8288 4.4905 4.4905 -2.8288" Properties=species:S:1:pos:R:3 pbc="T T T"
Ba 0.0000 0.0000 0.0000
Ba 3.4869 1.6715 0.0000
Ba 2.8191 -1.0037 2.8288
Ba 1.6715 5.4942 0.0000
Ba 1.0037 2.8191 2.8288
O 6.2961 0.8946 0.0000
O 0.8946 2.6850 0.0000
O 3.5959 1.8055 2.8288
O -1.8055 3.5959 2.8288
```

Values from the calculation:
Formation energy (no corrections), meV/atom: -2130.5
Excess energy over the best structure of this formula in the dataset, meV per atom: 0
Energy, eV per atom: -5.40